1.
This record from Alexandria describes crystalline CeScPaGa at its relaxed geometry. The functional is GGA-PBE. Values from VASP.

Structure (Quantum ESPRESSO input):
```
&SYSTEM
  ibrav = 0, nat = 4, ntyp = 4
/
ATOMIC_SPECIES
Sc 44.96 Sc.upf
Pa 231.04 Pa.upf
Ga 69.72 Ga.upf
Ce 140.12 Ce.upf
ATOMIC_POSITIONS crystal
Sc 0.0000 0.0000 0.0000
Pa 0.7500 0.7500 0.7500
Ga 0.2500 0.2500 0.2500
Ce 0.5000 0.5000 0.5000
CELL_PARAMETERS angstrom
5.0687 0.0000 0.0000
2.5344 4.3896 0.0000
2.5344 1.4632 4.1386
```

Formation energy = 0.03 eV/atom
Crystal system = cubic
Size of the total moment = 1.64 μB per formula unit

=====

2.
This record from Alexandria describes crystalline Cs2NpBr7 at its relaxed geometry. The functional is GGA-PBE. Values from VASP.

Structure (Quantum ESPRESSO input):
```
&SYSTEM
  ibrav = 0, nat = 10, ntyp = 3
/
ATOMIC_SPECIES
Cs 132.91 Cs.upf
Np 237.00 Np.upf
Br 79.90 Br.upf
ATOMIC_POSITIONS crystal
Cs 0.2500 0.2500 0.2500
Cs 0.7500 0.7500 0.7500
Np 0.0000 0.0000 0.0000
Br 0.5000 0.5000 0.5000
Br 0.2232 0.7768 0.7768
Br 0.2232 0.7768 0.2232
Br 0.7768 0.2232 0.7768
Br 0.7768 0.7768 0.2232
Br 0.2232 0.2232 0.7768
Br 0.7768 0.2232 0.2232
CELL_PARAMETERS angstrom
-5.5765 -6.3657 1.6929
1.5509 -7.9799 -2.8984
2.1494 -6.2607 5.5379
```

Distance to the lowest polymorph of the same formula = 0.34 eV/f.u.
E_form (uncorrected) = -1.3006 eV per atom
Crystal system = cubic
Size of the total moment = 1.92 μB per formula unit

=====

3.
This record from Alexandria describes crystalline Hf2MnP at its relaxed geometry. The functional is GGA-PBE. Values from VASP.

Structure (Quantum ESPRESSO input):
```
&SYSTEM
  ibrav = 0, nat = 4, ntyp = 3
/
ATOMIC_SPECIES
P 30.97 P.upf
Mn 54.94 Mn.upf
Hf 178.49 Hf.upf
ATOMIC_POSITIONS crystal
P 0.5000 0.5000 0.5000
Mn 0.0000 0.0000 0.0000
Hf 0.1033 0.1033 0.6900
Hf 0.8967 0.8967 0.3100
CELL_PARAMETERS angstrom
3.3608 0.0000 0.0000
1.6804 2.9106 0.0000
1.6804 0.9702 8.4576
```

Formation energy = 0.04 eV/atom
Crystal system = trigonal
Size of the total moment = 2.87 μB per formula unit